Entry 1:
Material: Sc2BeCrIn
Method: DFT, PBE
State: optimized geometry

Results
Its space group is P4/mmm, No. 123. As for the energy of formation from the pure elements: 0.7128 eV/atom.

Cell: 4.6633 4.6633 5.0581 Å, 90.00 90.00 90.00°
Closest atoms and distances in Å follow each position.
Atoms (fractional coordinates):
Sc 0.0000 0.5000 0.0000  2 Cr 2.33
Sc 0.5000 0.0000 0.0000  2 Cr 2.33
Be 0.0000 0.0000 0.5000  4 In 3.30, 8 Sc 3.44
Cr 0.5000 0.5000 0.0000  4 Sc 2.33, 2 In 2.53
In 0.5000 0.5000 0.5000  2 Cr 2.53

Entry 2:
Material: BeCr2InSe
Method: DFT, PBE
State: optimized geometry

Results
Its space group is P4/mmm, No. 123. The uncorrected formation energy comes out at 1.612 eV/atom.

Cell: 5.2183 5.2183 5.2421 Å, 90.00 90.00 90.00°
Closest atoms and distances in Å follow each position.
Atoms (fractional coordinates):
Be 0.0000 0.0000 0.0000  4 Se 3.69, 8 Cr 3.70
Cr 0.0000 0.5000 0.5000  2 In 2.61
Cr 0.5000 0.0000 0.5000  2 In 2.61
In 0.5000 0.5000 0.5000  4 Cr 2.61, 2 Se 2.62
Se 0.5000 0.5000 0.0000  2 In 2.62

Entry 3:
Material: Be4CrIr
Method: DFT, PBE
State: optimized geometry

Results
Its space group is F-43m, No. 216. As for the energy of formation from the pure elements: -0.4189 eV/atom.

Cell: 4.3244 4.3244 4.3244 Å, 60.00 60.00 60.00°
Closest atoms and distances in Å follow each position.
Atoms (fractional coordinates):
Be 0.1253 0.1253 0.1253  6 Be 2.16-2.17
Be 0.1253 0.1253 0.6240  6 Be 2.16-2.17
Be 0.1253 0.6240 0.1253  6 Be 2.16-2.17
Be 0.6240 0.1253 0.1253  6 Be 2.16-2.17
Cr 0.5000 0.5000 0.5000  12 Be 2.53, 4 Ir 2.65
Ir 0.7500 0.7500 0.7500  12 Be 2.54, 4 Cr 2.65

Entry 4:
Material: BeCrIr4
Method: DFT, PBE
State: optimized geometry

Results
Its space group is F-43m, No. 216. As for the energy of formation from the pure elements: 0.5062 eV/atom.

Cell: 5.1191 5.1191 5.1191 Å, 60.00 60.00 60.00°
Closest atoms and distances in Å follow each position.
Atoms (fractional coordinates):
Be 0.0000 0.0000 0.0000  12 Ir 3.00, 4 Cr 3.13
Cr 0.7500 0.7500 0.7500  12 Ir 3.00, 4 Be 3.13
Ir 0.3748 0.3748 0.3748  6 Ir 2.56
Ir 0.3748 0.3748 0.8755  6 Ir 2.56
Ir 0.3748 0.8755 0.3748  6 Ir 2.56
Ir 0.8755 0.3748 0.3748  6 Ir 2.56

no.,DOS at the Fermi energy (states/eV/f.u.),uncorrected energy (eV/atom)
1,4.40,-5.04
2,2.82,-4.23
3,1.05,-5.98
4,8.86,-7.63